! MnAgAs2O8 | Alexandria via LeMat-Bulk | GGA+U | optimized geometry; values from VASP
&SYSTEM
  ibrav = 0, nat = 12, ntyp = 4
/
ATOMIC_SPECIES
Mn 54.94 Mn.upf
Ag 107.87 Ag.upf
As 74.92 As.upf
O 16.00 O.upf
ATOMIC_POSITIONS crystal
Mn 0.000 0.000 0.000
Ag 0.750 0.250 0.500
As 0.250 0.750 0.500
As 0.500 0.500 0.000
O 0.071 0.383 0.312
O 0.071 0.759 0.688
O 0.131 0.308 0.823
O 0.241 0.929 0.312
O 0.485 0.308 0.177
O 0.617 0.929 0.688
O 0.692 0.515 0.823
O 0.692 0.869 0.177
CELL_PARAMETERS angstrom
-3.471 3.471 3.172
3.471 -3.471 3.172
3.471 3.471 -3.172
! space group: I-4m2, No. 119
! electronic total energy: -68.8 eV per cell
! DOS at the Fermi energy: 0.37 states/eV per atom
! total magnetization: 2.2 μB per cell